! Ho2RuPb (PBE, optimized geometry); values from VASP
&SYSTEM
  ibrav = 0, nat = 4, ntyp = 3
/
ATOMIC_SPECIES
Ho 164.93 Ho.upf
Ru 101.07 Ru.upf
Pb 207.20 Pb.upf
CELL_PARAMETERS angstrom
4.919 0.000 0.000
0.000 4.919 0.000
0.000 0.000 3.849
ATOMIC_POSITIONS angstrom
Ho 0.000 2.459 0.000
Ho 2.459 0.000 0.000
Ru 0.000 0.000 1.924
Pb 2.459 2.459 1.924
! Final energy, eV for the cell shown: -23.28
! Distance to the lowest polymorph of the same formula, meV/atom: 200
! Space group: P4/mmm
! ΔH_f (0 K), meV/atom: -286
! Calculated density, Mg/m³: 11.379
! M_tot, μB per atom: 0.0001

! SmHoRuPb (PBE, optimized geometry); values from VASP
&SYSTEM
  ibrav = 0, nat = 16, ntyp = 4
/
ATOMIC_SPECIES
Sm 150.36 Sm.upf
Ho 164.93 Ho.upf
Ru 101.07 Ru.upf
Pb 207.20 Pb.upf
CELL_PARAMETERS angstrom
7.299 0.000 0.000
0.000 7.299 0.000
0.000 0.000 7.299
ATOMIC_POSITIONS angstrom
Sm 0.000 0.000 0.000
Sm 0.000 3.650 3.650
Sm 3.650 0.000 3.650
Sm 3.650 3.650 0.000
Ho 0.000 0.000 3.650
Ho 0.000 3.650 0.000
Ho 3.650 0.000 0.000
Ho 3.650 3.650 3.650
Ru 1.825 1.825 1.825
Ru 1.825 5.474 5.474
Ru 5.474 1.825 5.474
Ru 5.474 5.474 1.825
Pb 1.825 1.825 5.474
Pb 1.825 5.474 1.825
Pb 5.474 1.825 1.825
Pb 5.474 5.474 5.474
! Final energy, eV for the cell shown: -92.89
! Distance to the lowest polymorph of the same formula, meV/atom: 203
! Space group: F-43m
! ΔH_f (0 K), meV/atom: -235
! Calculated density, Mg/m³: 10.650
! M_tot, μB per atom: 0.0000

! SmHoRuPb (PBE, optimized geometry); values from VASP
&SYSTEM
  ibrav = 0, nat = 4, ntyp = 4
/
ATOMIC_SPECIES
Sm 150.36 Sm.upf
Ho 164.93 Ho.upf
Ru 101.07 Ru.upf
Pb 207.20 Pb.upf
CELL_PARAMETERS angstrom
3.462 0.000 0.000
0.000 3.462 0.000
0.000 0.000 8.244
ATOMIC_POSITIONS angstrom
Sm 0.000 0.000 0.000
Ho 0.000 0.000 4.901
Ru 1.731 1.731 6.499
Pb 1.731 1.731 2.512
! Final energy, eV for the cell shown: -24.03
! Distance to the lowest polymorph of the same formula, meV/atom: 0
! Space group: P4mm
! ΔH_f (0 K), meV/atom: -438
! Calculated density, Mg/m³: 10.478
! M_tot, μB per atom: 0.0000

! HoTmRuPb (PBE, optimized geometry); values from VASP
&SYSTEM
  ibrav = 0, nat = 4, ntyp = 4
/
ATOMIC_SPECIES
Ho 164.93 Ho.upf
Tm 168.93 Tm.upf
Ru 101.07 Ru.upf
Pb 207.20 Pb.upf
CELL_PARAMETERS angstrom
3.400 0.000 0.000
0.000 3.400 0.000
0.000 0.000 8.210
ATOMIC_POSITIONS angstrom
Ho 0.000 0.000 0.000
Tm 0.000 0.000 4.919
Ru 1.700 1.700 6.538
Pb 1.700 1.700 2.480
! Final energy, eV for the cell shown: -24.03
! Distance to the lowest polymorph of the same formula, meV/atom: 0
! Space group: P4mm
! ΔH_f (0 K), meV/atom: -499
! Calculated density, Mg/m³: 11.233
! M_tot, μB per atom: 0.0000

! HoTmRuPb (PBE, optimized geometry); values from VASP
&SYSTEM
  ibrav = 0, nat = 16, ntyp = 4
/
ATOMIC_SPECIES
Ho 164.93 Ho.upf
Tm 168.93 Tm.upf
Ru 101.07 Ru.upf
Pb 207.20 Pb.upf
CELL_PARAMETERS angstrom
7.176 0.000 0.000
0.000 7.176 0.000
0.000 0.000 7.176
ATOMIC_POSITIONS angstrom
Ho 0.000 0.000 0.000
Ho 0.000 3.588 3.588
Ho 3.588 0.000 3.588
Ho 3.588 3.588 0.000
Tm 0.000 0.000 3.588
Tm 0.000 3.588 0.000
Tm 3.588 0.000 0.000
Tm 3.588 3.588 3.588
Ru 1.794 1.794 1.794
Ru 1.794 5.382 5.382
Ru 5.382 1.794 5.382
Ru 5.382 5.382 1.794
Pb 1.794 1.794 5.382
Pb 1.794 5.382 1.794
Pb 5.382 1.794 1.794
Pb 5.382 5.382 5.382
! Final energy, eV for the cell shown: -92.67
! Distance to the lowest polymorph of the same formula, meV/atom: 216
! Space group: F-43m
! ΔH_f (0 K), meV/atom: -284
! Calculated density, Mg/m³: 11.541
! M_tot, μB per atom: 0.0000

! YHoRuPb (PBE, optimized geometry); values from VASP
&SYSTEM
  ibrav = 0, nat = 4, ntyp = 4
/
ATOMIC_SPECIES
Y 88.91 Y.upf
Ho 164.93 Ho.upf
Ru 101.07 Ru.upf
Pb 207.20 Pb.upf
CELL_PARAMETERS angstrom
3.427 0.000 0.000
0.000 3.427 0.000
0.000 0.000 8.245
ATOMIC_POSITIONS angstrom
Y 0.000 0.000 0.000
Ho 0.000 0.000 4.918
Ru 1.713 1.713 6.549
Pb 1.713 1.713 2.467
! Final energy, eV for the cell shown: -25.91
! Distance to the lowest polymorph of the same formula, meV/atom: 0
! Space group: P4mm
! ΔH_f (0 K), meV/atom: -472
! Calculated density, Mg/m³: 9.642
! M_tot, μB per atom: 0.0000

! YHoRuPb (PBE, optimized geometry); values from VASP
&SYSTEM
  ibrav = 0, nat = 16, ntyp = 4
/
ATOMIC_SPECIES
Y 88.91 Y.upf
Ho 164.93 Ho.upf
Ru 101.07 Ru.upf
Pb 207.20 Pb.upf
CELL_PARAMETERS angstrom
7.229 0.000 0.000
0.000 7.229 0.000
0.000 0.000 7.229
ATOMIC_POSITIONS angstrom
Y 0.000 0.000 0.000
Y 0.000 3.615 3.615
Y 3.615 0.000 3.615
Y 3.615 3.615 0.000
Ho 0.000 0.000 3.615
Ho 0.000 3.615 0.000
Ho 3.615 0.000 0.000
Ho 3.615 3.615 3.615
Ru 1.807 1.807 1.807
Ru 1.807 5.422 5.422
Ru 5.422 1.807 5.422
Ru 5.422 5.422 1.807
Pb 1.807 1.807 5.422
Pb 1.807 5.422 1.807
Pb 5.422 1.807 1.807
Pb 5.422 5.422 5.422
! Final energy, eV for the cell shown: -100.57
! Distance to the lowest polymorph of the same formula, meV/atom: 193
! Space group: F-43m
! ΔH_f (0 K), meV/atom: -279
! Calculated density, Mg/m³: 9.882
! M_tot, μB per atom: 0.0000

! Ho3PbS6 (PBE, optimized geometry); values from VASP
&SYSTEM
  ibrav = 0, nat = 20, ntyp = 3
/
ATOMIC_SPECIES
Ho 164.93 Ho.upf
Pb 207.20 Pb.upf
S 32.06 S.upf
CELL_PARAMETERS angstrom
11.129 0.000 0.000
0.000 4.014 0.000
-3.582 0.000 10.854
ATOMIC_POSITIONS angstrom
Ho 0.064 1.004 1.790
Ho 0.177 3.011 5.405
Ho 0.514 1.004 9.928
Ho 7.033 3.011 0.926
Ho 7.370 1.004 5.449
Ho 7.482 3.011 9.064
Pb 4.006 1.004 3.424
Pb 3.541 3.011 7.430
S -1.176 1.004 4.193
S -2.190 1.004 10.230
S 1.515 3.011 2.924
S 0.615 3.011 8.108
S 2.201 1.004 5.746
S 4.324 3.011 0.906
S 3.223 1.004 9.948
S 5.346 3.011 5.108
S 6.932 1.004 2.745
S 6.032 1.004 7.930
S 9.736 3.011 0.624
S 8.722 3.011 6.661
! Final energy, eV for the cell shown: -115.80
! Space group: P2_1/m
! Calculated density, Mg/m³: 6.126
! M_tot, μB per atom: 0.0000

! Ho5PbS4 (PBE, optimized geometry); values from VASP
&SYSTEM
  ibrav = 0, nat = 10, ntyp = 3
/
ATOMIC_SPECIES
Ho 164.93 Ho.upf
Pb 207.20 Pb.upf
S 32.06 S.upf
CELL_PARAMETERS angstrom
6.649 -1.956 0.000
6.649 1.956 0.000
-4.960 0.000 8.714
ATOMIC_POSITIONS angstrom
Ho 0.000 0.000 0.000
Ho -1.324 0.000 7.146
Ho 2.121 0.000 5.423
Ho 6.217 0.000 3.291
Ho 9.662 0.000 1.568
Pb -2.480 0.000 4.357
S 1.281 0.000 2.510
S 4.893 0.000 0.870
S 3.445 0.000 7.844
S 7.057 0.000 6.204
! Final energy, eV for the cell shown: -59.36
! Space group: C2/m
! Calculated density, Mg/m³: 8.497
! M_tot, μB per atom: 0.0000

! Ho14Pb3S24 (PBE, optimized geometry); values from VASP
&SYSTEM
  ibrav = 0, nat = 41, ntyp = 3
/
ATOMIC_SPECIES
Ho 164.93 Ho.upf
Pb 207.20 Pb.upf
S 32.06 S.upf
CELL_PARAMETERS angstrom
5.937 -4.169 0.000
5.937 4.169 0.000
-5.928 0.000 17.944
ATOMIC_POSITIONS angstrom
Ho -0.700 0.000 2.374
Ho -0.008 1.048 6.081
Ho 3.617 2.103 5.506
Ho 2.329 2.103 12.438
Ho 0.621 0.063 9.644
Ho -0.704 0.025 14.107
Ho -2.263 -2.052 17.304
Ho 2.207 -2.123 6.802
Ho 6.650 0.025 3.837
Ho 5.325 0.063 8.300
Ho 5.954 1.048 11.863
Ho 3.739 -2.123 11.142
Ho 8.210 -2.052 0.640
Ho 6.646 0.000 15.570
Pb 5.937 1.049 0.000
Pb 2.977 -0.987 3.055
Pb 2.969 -0.987 14.889
S -3.645 0.521 13.329
S -0.564 2.651 13.349
S 0.603 2.707 10.432
S 1.411 1.562 3.804
S -2.390 0.493 16.329
S 1.475 -0.479 0.627
S 4.388 1.596 2.420
S -1.447 -0.581 11.343
S 5.343 2.707 7.512
S 2.260 0.511 7.468
S 6.510 2.651 4.595
S 1.559 1.596 15.525
S 1.462 -0.529 12.482
S 3.687 0.511 10.476
S 4.535 1.562 14.141
S 4.484 -0.529 5.463
S 5.395 -1.590 1.504
S 8.336 0.493 1.615
S 1.465 -2.534 9.631
S 0.552 -1.590 16.441
S 9.591 0.521 4.616
S 7.393 -0.581 6.602
S 4.481 -2.534 8.313
S 4.471 -0.479 17.317
! Final energy, eV for the cell shown: -247.75
! Space group: C2
! Calculated density, Mg/m³: 6.917
! M_tot, μB per atom: 0.0000

! Ho4PbS3 (PBE, optimized geometry); values from VASP
&SYSTEM
  ibrav = 0, nat = 8, ntyp = 3
/
ATOMIC_SPECIES
Ho 164.93 Ho.upf
Pb 207.20 Pb.upf
S 32.06 S.upf
CELL_PARAMETERS angstrom
3.959 0.000 0.000
0.000 5.745 0.000
0.000 0.000 8.210
ATOMIC_POSITIONS angstrom
Ho 0.000 0.000 0.000
Ho 0.000 0.000 4.105
Ho 1.979 2.873 1.856
Ho 1.979 2.873 6.354
Pb 0.000 2.873 4.105
S 0.000 2.873 0.000
S 1.979 0.000 1.990
S 1.979 0.000 6.220
! Final energy, eV for the cell shown: -46.58
! Space group: Pmmm
! Calculated density, Mg/m³: 8.565
! M_tot, μB per atom: 0.0000

> Among the records above, which one has the lowest calculated density?

Ho3PbS6

Please write out number 5 again, unchanged.
! HoTmRuPb (PBE, optimized geometry); values from VASP
&SYSTEM
  ibrav = 0, nat = 16, ntyp = 4
/
ATOMIC_SPECIES
Ho 164.93 Ho.upf
Tm 168.93 Tm.upf
Ru 101.07 Ru.upf
Pb 207.20 Pb.upf
CELL_PARAMETERS angstrom
7.176 0.000 0.000
0.000 7.176 0.000
0.000 0.000 7.176
ATOMIC_POSITIONS angstrom
Ho 0.000 0.000 0.000
Ho 0.000 3.588 3.588
Ho 3.588 0.000 3.588
Ho 3.588 3.588 0.000
Tm 0.000 0.000 3.588
Tm 0.000 3.588 0.000
Tm 3.588 0.000 0.000
Tm 3.588 3.588 3.588
Ru 1.794 1.794 1.794
Ru 1.794 5.382 5.382
Ru 5.382 1.794 5.382
Ru 5.382 5.382 1.794
Pb 1.794 1.794 5.382
Pb 1.794 5.382 1.794
Pb 5.382 1.794 1.794
Pb 5.382 5.382 5.382
! Final energy, eV for the cell shown: -92.67
! Distance to the lowest polymorph of the same formula, meV/atom: 216
! Space group: F-43m
! ΔH_f (0 K), meV/atom: -284
! Calculated density, Mg/m³: 11.541
! M_tot, μB per atom: 0.0000